No. 1
The following is a DFT calculation (PBE) of a geometry-optimized CsCu3Ag structure.

Unit cell a=5.485 b=5.485 c=5.485 alpha=90.00 beta=90.00 gamma=90.00
Space group Pm-3m (No. 221)
Symmetry-distinct sites (fractional):
Cs 0.000 0.000 0.000 (multiplicity 1)
Cu 0.000 0.000 0.500 (multiplicity 3)
Ag 0.500 0.500 0.500 (multiplicity 1)

Computed properties:
The calculation puts the energy at -6.85 eV per formula unit. The calculation puts the density of states at the Fermi level at 4.099 states/eV/f.u. The calculation puts the formation energy at 1828 meV per atom. The energy above the most stable polymorph in this dataset comes out at 6.03 eV per formula unit.

No. 2
The following is a DFT calculation (PBE) of a geometry-optimized CsCuAg2 structure.

Unit cell a=4.6667 b=4.6667 c=19.6495 alpha=90.00 beta=90.00 gamma=120.00
Space group R-3m (No. 166, hexagonal axes)
Symmetry-distinct sites (fractional):
Cs 0.0000 0.0000 0.0000 (multiplicity 3)
Cu 0.0000 0.0000 0.5000 (multiplicity 3)
Ag 0.0000 0.0000 0.1818 (multiplicity 6)

Computed properties:
The calculation puts the energy at -10.16 eV per formula unit. The calculation puts the density of states at the Fermi level at 1.339 states/eV/f.u. The calculation puts the formation energy at 123 meV per atom. The energy above the most stable polymorph in this dataset comes out at 0.00 eV per formula unit.

No. 3
The following is a DFT calculation (PBE) of a geometry-optimized Cs2Cu2Ag structure.

Unit cell a=6.899 b=6.899 c=7.678 alpha=90.00 beta=90.00 gamma=90.00
Space group I4/mmm (No. 139)
Symmetry-distinct sites (fractional):
Cs 0.000 0.500 0.250 (multiplicity 4)
Cu 0.000 0.000 0.156 (multiplicity 4)
Ag 0.000 0.000 0.500 (multiplicity 2)

Computed properties:
The calculation puts the energy at -11.05 eV per formula unit. The calculation puts the density of states at the Fermi level at 1.862 states/eV/f.u. The calculation puts the formation energy at 340 meV per atom. The energy above the most stable polymorph in this dataset comes out at 0.00 eV per formula unit.